[1]
Material: LaYLuZn
Method: DFT, PBE
State: optimized geometry

Cell: 5.411 5.411 5.411 Å, 60.00 60.00 60.00°
Element x y z (fractional)
La (0.000, 0.000, 0.000)
Y (0.500, 0.500, 0.500)
Lu (0.250, 0.250, 0.250)
Zn (0.750, 0.750, 0.750)

DOS(E_F)   4.537 states/eV per cell
Total magnetization   0.000 μB per atom
VASP energy   -17.173 eV/cell

[2]
Material: Ca3HoHg2
Method: DFT, PBE
State: optimized geometry

Cell: 5.142 9.788 7.120 Å, 90.00 90.00 90.00°
Element x y z (fractional)
Ca (0.000, 0.063, 0.000)
Ca (0.000, 0.320, 0.371)
Ca (0.000, 0.680, 0.871)
Ca (0.000, 0.937, 0.500)
Ca (0.500, 0.184, 0.693)
Ca (0.500, 0.816, 0.193)
Ho (0.500, 0.442, 0.059)
Ho (0.500, 0.558, 0.559)
Hg (0.000, 0.368, 0.813)
Hg (0.000, 0.632, 0.313)
Hg (0.500, 0.145, 0.251)
Hg (0.500, 0.855, 0.751)

DOS(E_F)   12.469 states/eV per cell
Total magnetization   0.000 μB per atom
VASP energy   -26.626 eV/cell

[3]
Material: Li3ScTi2Se6
Method: DFT, PBE
State: optimized geometry

Cell: 6.480 6.480 6.802 Å, 99.16 99.16 120.05°
Element x y z (fractional)
Li (0.000, 0.000, 0.000)
Li (0.336, 0.664, 0.000)
Li (0.664, 0.336, 0.000)
Sc (0.500, 0.500, 0.500)
Ti (0.168, 0.832, 0.500)
Ti (0.832, 0.168, 0.500)
Se (0.079, 0.420, 0.260)
Se (0.238, 0.238, 0.739)
Se (0.420, 0.079, 0.260)
Se (0.580, 0.921, 0.740)
Se (0.762, 0.762, 0.261)
Se (0.921, 0.580, 0.740)

DOS(E_F)   5.490 states/eV per cell
Total magnetization   0.163 μB per atom
Raw formation energy   -1.32 eV/atom

[4]
Material: In3BiIr
Method: DFT, PBE
State: optimized geometry

Cell: 5.202 5.202 5.202 Å, 90.00 90.00 90.00°
Element x y z (fractional)
In (0.000, 0.000, 0.500)
In (0.000, 0.500, 0.000)
In (0.500, 0.000, 0.000)
Bi (0.500, 0.500, 0.500)
Ir (0.000, 0.000, 0.000)

DOS(E_F)   4.464 states/eV per cell
Total magnetization   0.000 μB per atom
VASP energy   -20.569 eV/cell

[5]
Material: Pm2GdNi
Method: DFT, PBE
State: optimized geometry

Cell: 3.549 3.549 8.744 Å, 90.00 90.00 90.00°
Element x y z (fractional)
Pm (0.000, 0.000, 0.188)
Pm (0.000, 0.000, 0.812)
Gd (0.500, 0.500, 0.500)
Ni (0.500, 0.500, 0.000)

DOS(E_F)   6.247 states/eV per cell
Total magnetization   2.070 μB per atom
VASP energy   -29.723 eV/cell

[6]
Material: SrCdAg
Method: DFT, PBE
State: optimized geometry

Cell: 6.219 6.219 7.899 Å, 127.18 127.18 46.85°
Element x y z (fractional)
Sr (0.051, 0.051, 0.303)
Sr (0.949, 0.949, 0.697)
Cd (0.329, 0.329, 0.895)
Cd (0.671, 0.671, 0.105)
Ag (0.342, 0.342, 0.291)
Ag (0.658, 0.658, 0.709)

DOS(E_F)   2.697 states/eV per cell
Total magnetization   0.000 μB per atom
VASP energy   -12.859 eV/cell

[7]
Material: V3HgGe
Method: DFT, PBE
State: optimized geometry

Cell: 4.568 4.568 4.568 Å, 90.00 90.00 90.00°
Element x y z (fractional)
V (0.000, 0.000, 0.500)
V (0.000, 0.500, 0.000)
V (0.500, 0.000, 0.000)
Hg (0.500, 0.500, 0.500)
Ge (0.000, 0.000, 0.000)

DOS(E_F)   6.614 states/eV per cell
Total magnetization   0.771 μB per atom
VASP energy   -28.077 eV/cell

[8]
Material: LaTa3B
Method: DFT, PBE
State: optimized geometry

Cell: 4.580 4.580 4.580 Å, 90.00 90.00 90.00°
Element x y z (fractional)
La (0.000, 0.000, 0.000)
Ta (0.000, 0.500, 0.500)
Ta (0.500, 0.000, 0.500)
Ta (0.500, 0.500, 0.000)
B (0.500, 0.500, 0.500)

DOS(E_F)   10.149 states/eV per cell
Total magnetization   0.000 μB per atom
VASP energy   -45.306 eV/cell

Q: Look up the DOS(E_F) of the seventh one.
A: 6.614 states/eV per cell

Q: What is the DOS(E_F) in the seventh record?
A: 6.614 states/eV per cell